## Cd3PbF (PBE)

Data for an optimized crystal structure of Cd3PbF.

Output
space-group type: Pm-3m, No. 221
spin magnetization: 0.0000 μB per atom
uncorrected energy: -8.5 eV for the cell shown
DOS(E_F): 1.56 states/eV per cell

Unit cell a=5.737 b=5.737 c=5.737 alpha=90.00 beta=90.00 gamma=90.00
Element x y z (fractional)
Pb  0.000  0.000  0.000
F  0.500  0.500  0.500
Cd  0.000  0.500  0.000
Cd  0.000  0.000  0.500
Cd  0.500  0.000  0.000

---

## TlCuC (PBE)

Data for an optimized crystal structure of TlCuC.

Output
formation enthalpy at 0 K: 1.092 eV/atom
space-group type: P4/mmm, No. 123
spin magnetization: 0.0000 μB per atom
uncorrected energy: -24.8 eV for the cell shown
DOS(E_F): 2.36 states/eV per cell

Unit cell a=5.179 b=5.179 c=3.752 alpha=90.00 beta=90.00 gamma=90.00
Element x y z (fractional)
Tl  0.000  0.000  0.500
Tl  0.500  0.500  0.500
C  0.000  0.500  0.500
C  0.500  0.000  0.500
Cu  0.000  0.500  0.000
Cu  0.500  0.000  0.000

---

## CuAgSn2Cl (PBE)

Data for an optimized crystal structure of CuAgSn2Cl.

Output
space-group type: P4/mmm, No. 123
spin magnetization: 0.0000 μB per atom
uncorrected energy: -15.1 eV for the cell shown
DOS(E_F): 2.38 states/eV per cell

Unit cell a=5.326 b=4.902 c=5.326 alpha=90.00 beta=90.00 gamma=90.00
Element x y z (fractional)
Cu  0.000  0.500  0.000
Sn  0.000  0.000  0.500
Sn  0.500  0.000  0.000
Ag  0.000  0.000  0.000
Cl  0.500  0.500  0.500

---

## MgUPa2 (PBE)

Data for an optimized crystal structure of MgUPa2.

Output
formation enthalpy at 0 K: 0.333 eV/atom
space-group type: R-3m, No. 166
spin magnetization: 0.0001 μB per atom
uncorrected energy: -30.5 eV for the cell shown
DOS(E_F): 9.39 states/eV per cell

Unit cell a=3.048 b=3.048 c=12.237 alpha=82.85 beta=82.85 gamma=60.00
Element x y z (fractional)
Mg  0.000  0.000  0.000
Pa  0.089  0.089  0.734
Pa  0.911  0.911  0.266
U  0.500  0.500  0.500

---

## Tm2RuBr (PBE)

Data for an optimized crystal structure of Tm2RuBr.

Output
space-group type: R-3m, No. 166
spin magnetization: 0.0000 μB per atom
uncorrected energy: -22.9 eV for the cell shown
DOS(E_F): 2.28 states/eV per cell

Unit cell a=3.915 b=3.915 c=7.941 alpha=75.73 beta=75.73 gamma=60.00
Element x y z (fractional)
Ru  0.000  0.000  0.000
Tm  0.731  0.731  0.807
Tm  0.269  0.269  0.193
Br  0.500  0.500  0.500

---

## TbNdNp2Se4 (PBE)

Data for an optimized crystal structure of TbNdNp2Se4.

Output
space-group type: P2/m, No. 10
spin magnetization: 0.0124 μB per atom
uncorrected energy: -60.6 eV for the cell shown
DOS(E_F): 21.23 states/eV per cell

Unit cell a=4.135 b=7.218 c=7.107 alpha=109.58 beta=90.00 gamma=90.00
Element x y z (fractional)
Tb  0.500  0.500  0.000
Nd  0.000  0.000  0.000
Np  0.500  0.000  0.500
Np  0.000  0.500  0.500
Se  0.500  0.258  0.256
Se  0.500  0.742  0.744
Se  0.000  0.253  0.748
Se  0.000  0.747  0.252

---

## MgSiSe2 (PBE)

Data for an optimized crystal structure of MgSiSe2.

Output
space-group type: I-42d, No. 122
spin magnetization: 0.0000 μB per atom
uncorrected energy: -30.8 eV for the cell shown
DOS(E_F): 0.00 states/eV per cell

Unit cell a=5.931 b=5.931 c=7.698 alpha=67.34 beta=67.34 gamma=90.00
Element x y z (fractional)
Si  0.000  0.000  0.000
Si  0.750  0.250  0.500
Mg  0.500  0.500  0.000
Mg  0.250  0.750  0.500
Se  0.620  0.125  0.250
Se  0.130  0.625  0.250
Se  0.375  0.380  0.750
Se  0.875  0.870  0.750

---

## TcWAu2 (PBE)

Data for an optimized crystal structure of TcWAu2.

Output
formation enthalpy at 0 K: 0.297 eV/atom
space-group type: Pmm2, No. 25
spin magnetization: 0.0000 μB per atom
uncorrected energy: -28.7 eV for the cell shown
DOS(E_F): 4.13 states/eV per cell

Unit cell a=2.852 b=3.955 c=5.876 alpha=90.00 beta=90.00 gamma=90.00
Element x y z (fractional)
Au  0.000  0.000  0.997
Au  0.500  0.500  0.254
Tc  0.000  0.000  0.521
W  0.500  0.500  0.728